(1)
Below is crystalline Th4BI5 at its relaxed geometry, with properties calculated at the GGA-PBE level.

Cell lengths 9.7724, 9.7724, 9.2142 Å; angles 103.40, 103.40, 23.55 degrees
Fractional positions:
Th 0.0053 0.0053 0.3095
Th 0.3567 0.3567 0.4415
Th 0.6433 0.6433 0.5585
Th 0.9947 0.9947 0.6905
B 0.5000 0.5000 0.5000
I 0.1634 0.1634 0.8406
I 0.1748 0.1748 0.3024
I 0.5000 0.5000 0.0000
I 0.8252 0.8252 0.6976
I 0.8366 0.8366 0.1594

formation energy from raw total energies	-8.69	eV per formula unit
DOS(E_F)	4.9	states/eV/f.u.
magnetic moment	0.0	μB per cell

(2)
Below is crystalline MgFePt2 at its relaxed geometry, with properties calculated at the GGA-PBE level.

Cell lengths 3.8197, 3.8197, 8.2733 Å; angles 90.00, 90.00, 90.00 degrees
Fractional positions:
Mg 0.0000 0.0000 0.0000
Mg 0.5000 0.5000 0.5000
Fe 0.0000 0.5000 0.2500
Fe 0.5000 0.0000 0.7500
Pt 0.0000 0.0000 0.5000
Pt 0.0000 0.5000 0.7500
Pt 0.5000 0.0000 0.2500
Pt 0.5000 0.5000 0.0000

energy of formation from the pure elements	-40.3	kJ per mole of atoms
DOS(E_F)	2.3	states/eV/f.u.
magnetic moment	7.0	μB per cell

(3)
Below is crystalline Ac3Si2Pd9 at its relaxed geometry, with properties calculated at the GGA-PBE level.

Cell lengths 8.6049, 8.6049, 8.6049 Å; angles 152.30, 100.31, 86.31 degrees
Fractional positions:
Ac 0.0000 0.0000 0.0000
Ac 0.3191 0.3191 0.0000
Ac 0.6809 0.6809 0.0000
Si 0.2563 0.5000 0.7563
Si 0.7437 0.5000 0.2437
Pd 0.0369 0.6660 0.3709
Pd 0.1728 0.8882 0.2846
Pd 0.2951 0.6660 0.6291
Pd 0.3965 0.1118 0.2846
Pd 0.5000 0.0000 0.5000
Pd 0.6035 0.8882 0.7154
Pd 0.7049 0.3340 0.3709
Pd 0.8272 0.1118 0.7154
Pd 0.9631 0.3340 0.6291

formation energy from raw total energies	-10.04	eV per formula unit
DOS(E_F)	6.0	states/eV/f.u.
magnetic moment	0.0	μB per cell

(4)
Below is crystalline CsBaAg2F at its relaxed geometry, with properties calculated at the GGA-PBE level.

Cell lengths 6.0667, 6.0667, 8.2149 Å; angles 90.00, 90.00, 90.00 degrees
Fractional positions:
Cs 0.0000 0.0000 0.0000
Ba 0.0000 0.0000 0.5000
Ag 0.0000 0.5000 0.0000
Ag 0.5000 0.0000 0.0000
F 0.5000 0.5000 0.5000

formation energy from raw total energies	1.78	eV per formula unit
DOS(E_F)	2.1	states/eV/f.u.
magnetic moment	0.0	μB per cell

(5)
Below is crystalline Cd4AgPt3 at its relaxed geometry, with properties calculated at the GGA-PBE level.

Cell lengths 16.5587, 4.2314, 4.2310 Å; angles 90.00, 104.71, 90.00 degrees
Fractional positions:
Cd 0.1277 0.0000 0.1275
Cd 0.1277 0.5000 0.6281
Cd 0.3723 0.0000 0.3719
Cd 0.3723 0.5000 0.8725
Cd 0.6277 0.0000 0.6281
Cd 0.6277 0.5000 0.1275
Cd 0.8723 0.0000 0.8725
Cd 0.8723 0.5000 0.3719
Ag 0.0000 0.5000 0.0000
Ag 0.5000 0.0000 0.0000
Pt 0.0000 0.0000 0.5000
Pt 0.2501 0.0000 0.7497
Pt 0.2499 0.5000 0.2503
Pt 0.5000 0.5000 0.5000
Pt 0.7499 0.0000 0.2503
Pt 0.7501 0.5000 0.7497

energy of formation from the pure elements	-24.7	kJ per mole of atoms
DOS(E_F)	2.8	states/eV/f.u.
magnetic moment	0.0	μB per cell

(6)
Below is crystalline Y5ScAl4 at its relaxed geometry, with properties calculated at the GGA-PBE level.

Cell lengths 3.5924, 3.5924, 19.0194 Å; angles 90.00, 90.00, 90.00 degrees
Fractional positions:
Y 0.0000 0.0000 0.0000
Y 0.0000 0.0000 0.1913
Y 0.0000 0.0000 0.3835
Y 0.0000 0.0000 0.6165
Y 0.0000 0.0000 0.8087
Sc 0.5000 0.5000 0.5000
Al 0.5000 0.5000 0.0957
Al 0.5000 0.5000 0.2884
Al 0.5000 0.5000 0.7116
Al 0.5000 0.5000 0.9043

energy of formation from the pure elements	-31.4	kJ per mole of atoms
DOS(E_F)	7.1	states/eV/f.u.
magnetic moment	0.0	μB per cell

(7)
Below is crystalline Sr2TlRh at its relaxed geometry, with properties calculated at the GGA-PBE level.

Cell lengths 4.7339, 4.7339, 9.9014 Å; angles 90.00, 90.00, 90.00 degrees
Fractional positions:
Sr 0.0000 0.0000 0.0000
Sr 0.0000 0.5000 0.2500
Sr 0.5000 0.0000 0.7500
Sr 0.5000 0.5000 0.5000
Tl 0.0000 0.5000 0.7500
Tl 0.5000 0.0000 0.2500
Rh 0.0000 0.0000 0.5000
Rh 0.5000 0.5000 0.0000

energy of formation from the pure elements	-4.4	kJ per mole of atoms
DOS(E_F)	3.2	states/eV/f.u.
magnetic moment	0.0	μB per cell

(8)
Below is crystalline Tl2CdSi2Au7 at its relaxed geometry, with properties calculated at the GGA-PBE level.

Cell lengths 4.3633, 4.3633, 13.8346 Å; angles 95.27, 95.27, 88.92 degrees
Fractional positions:
Tl 0.0672 0.0672 0.3727
Tl 0.9328 0.9328 0.6273
Cd 0.0000 0.0000 0.0000
Si 0.4283 0.4283 0.7622
Si 0.5717 0.5717 0.2378
Au 0.0455 0.5416 0.1492
Au 0.4331 0.4331 0.5887
Au 0.4584 0.9545 0.8508
Au 0.5000 0.5000 0.0000
Au 0.5416 0.0455 0.1492
Au 0.5669 0.5669 0.4113
Au 0.9545 0.4584 0.8508

formation energy from raw total energies	-0.70	eV per formula unit
DOS(E_F)	4.1	states/eV/f.u.
magnetic moment	0.0	μB per cell

(9)
Below is crystalline YTe2Pb at its relaxed geometry, with properties calculated at the GGA-PBE level.

Cell lengths 4.5225, 4.5225, 6.3460 Å; angles 90.00, 90.00, 90.00 degrees
Fractional positions:
Y 0.0000 0.0000 0.0000
Te 0.0000 0.0000 0.5000
Te 0.5000 0.5000 0.0000
Pb 0.5000 0.5000 0.5000

formation energy from raw total energies	-3.10	eV per formula unit
DOS(E_F)	2.6	states/eV/f.u.
magnetic moment	0.0	μB per cell

(10)
Below is crystalline BeZn3F at its relaxed geometry, with properties calculated at the GGA-PBE level.

Cell lengths 4.3548, 4.3548, 4.3548 Å; angles 90.00, 90.00, 90.00 degrees
Fractional positions:
Be 0.0000 0.0000 0.0000
Zn 0.0000 0.0000 0.5000
Zn 0.0000 0.5000 0.0000
Zn 0.5000 0.0000 0.0000
F 0.5000 0.5000 0.5000

formation energy from raw total energies	-0.81	eV per formula unit
DOS(E_F)	2.2	states/eV/f.u.
magnetic moment	0.0	μB per cell

(11)
Below is crystalline Li3Mn2Cl8 at its relaxed geometry, with properties calculated at the GGA-PBE level.

Cell lengths 7.1881, 7.1881, 6.3766 Å; angles 104.32, 104.32, 61.83 degrees
Fractional positions:
Li 0.0000 0.0000 0.0000
Li 0.2549 0.7451 0.5000
Li 0.7451 0.2549 0.5000
Mn 0.2513 0.2513 0.5066
Mn 0.7487 0.7487 0.4934
Cl 0.1091 0.6274 0.7348
Cl 0.1251 0.1251 0.7252
Cl 0.3729 0.3729 0.2908
Cl 0.3726 0.8909 0.2652
Cl 0.6274 0.1091 0.7348
Cl 0.6271 0.6271 0.7092
Cl 0.8749 0.8749 0.2748
Cl 0.8909 0.3726 0.2652

formation energy from raw total energies	-17.56	eV per formula unit
DOS(E_F)	4.8	states/eV/f.u.
magnetic moment	9.0	μB per cell

(12)
Below is crystalline Cu2TcAs at its relaxed geometry, with properties calculated at the GGA-PBE level.

Cell lengths 3.1647, 3.1647, 5.4891 Å; angles 90.00, 90.00, 90.00 degrees
Fractional positions:
Cu 0.0000 0.0000 0.0000
Cu 0.5000 0.5000 0.2039
Tc 0.0000 0.0000 0.4940
As 0.5000 0.5000 0.7099

energy of formation from the pure elements	5.4	kJ per mole of atoms
DOS(E_F)	2.6	states/eV/f.u.
magnetic moment	0.0	μB per cell

(13)
Below is crystalline TiCd2Tc4 at its relaxed geometry, with properties calculated at the GGA-PBE level.

Cell lengths 4.4969, 4.4969, 13.9233 Å; angles 90.00, 90.00, 90.00 degrees
Fractional positions:
Ti 0.0000 0.0000 0.0000
Ti 0.5000 0.5000 0.5000
Cd 0.0000 0.0000 0.3660
Cd 0.0000 0.0000 0.6340
Cd 0.5000 0.5000 0.1340
Cd 0.5000 0.5000 0.8660
Tc 0.0000 0.0000 0.1675
Tc 0.0000 0.0000 0.8325
Tc 0.0000 0.5000 0.0000
Tc 0.0000 0.5000 0.5000
Tc 0.5000 0.0000 0.0000
Tc 0.5000 0.0000 0.5000
Tc 0.5000 0.5000 0.3325
Tc 0.5000 0.5000 0.6675

energy of formation from the pure elements	126.3	kJ per mole of atoms
DOS(E_F)	9.0	states/eV/f.u.
magnetic moment	5.8	μB per cell

(14)
Below is crystalline Er12Sb6C at its relaxed geometry, with properties calculated at the GGA-PBE level.

Cell lengths 8.3064, 8.3064, 8.3064 Å; angles 99.45, 99.45, 99.45 degrees
Fractional positions:
Er 0.9996 0.2984 0.0640
Er 0.0004 0.7016 0.9360
Er 0.0640 0.9996 0.2984
Er 0.1944 0.4206 0.5437
Er 0.2984 0.0640 0.9996
Er 0.4206 0.5437 0.1944
Er 0.4563 0.8056 0.5794
Er 0.5437 0.1944 0.4206
Er 0.5794 0.4563 0.8056
Er 0.7016 0.9360 0.0004
Er 0.8056 0.5794 0.4563
Er 0.9360 0.0004 0.7016
Sb 0.1171 0.6481 0.3010
Sb 0.3010 0.1171 0.6481
Sb 0.3519 0.6990 0.8829
Sb 0.6481 0.3010 0.1171
Sb 0.6990 0.8829 0.3519
Sb 0.8829 0.3519 0.6990
C 0.0000 0.0000 0.0000

formation energy from raw total energies	-12.23	eV per formula unit
DOS(E_F)	10.7	states/eV/f.u.
magnetic moment	0.0	μB per cell

(15)
Below is crystalline CaZn2Hg at its relaxed geometry, with properties calculated at the GGA-PBE level.

Cell lengths 4.7674, 10.6865, 6.7324 Å; angles 90.00, 90.00, 90.00 degrees
Fractional positions:
Ca 0.0000 0.0948 0.2500
Ca 0.0000 0.9052 0.7500
Ca 0.5000 0.4052 0.7500
Ca 0.5000 0.5948 0.2500
Zn 0.0000 0.3862 0.0588
Zn 0.0000 0.3862 0.4412
Zn 0.0000 0.6138 0.5588
Zn 0.0000 0.6138 0.9412
Zn 0.5000 0.1138 0.5588
Zn 0.5000 0.1138 0.9412
Zn 0.5000 0.8862 0.0588
Zn 0.5000 0.8862 0.4412
Hg 0.0000 0.2035 0.7500
Hg 0.0000 0.7965 0.2500
Hg 0.5000 0.2965 0.2500
Hg 0.5000 0.7035 0.7500

energy of formation from the pure elements	-27.6	kJ per mole of atoms
DOS(E_F)	1.9	states/eV/f.u.
magnetic moment	0.0	μB per cell

(16)
Below is crystalline MgCrBr2 at its relaxed geometry, with properties calculated at the GGA-PBE level.

Cell lengths 3.7583, 4.1644, 6.5657 Å; angles 90.00, 90.00, 90.00 degrees
Fractional positions:
Mg 0.0000 0.0000 0.0000
Cr 0.5000 0.0000 0.5000
Br 0.0000 0.5000 0.5000
Br 0.5000 0.5000 0.0000

formation energy from raw total energies	-0.50	eV per formula unit
DOS(E_F)	1.6	states/eV/f.u.
magnetic moment	4.7	μB per cell

(17)
Below is crystalline YVCu at its relaxed geometry, with properties calculated at the GGA-PBE level.

Cell lengths 10.3699, 4.0029, 5.5274 Å; angles 90.00, 90.70, 90.00 degrees
Fractional positions:
Y 0.0000 0.0000 0.0000
Y 0.0866 0.5000 0.5029
Y 0.5000 0.5000 0.0000
Y 0.5866 0.0000 0.5029
V 0.2194 0.5000 0.9966
V 0.2950 0.0000 0.7464
V 0.7194 0.0000 0.9966
V 0.7950 0.5000 0.7464
Cu 0.2919 0.0000 0.2488
Cu 0.3674 0.5000 0.4956
Cu 0.7919 0.5000 0.2488
Cu 0.8674 0.0000 0.4956

energy of formation from the pure elements	11.0	kJ per mole of atoms
DOS(E_F)	2.9	states/eV/f.u.
magnetic moment	0.5	μB per cell

(18)
Below is crystalline KCu2Re at its relaxed geometry, with properties calculated at the GGA-PBE level.

Cell lengths 2.5663, 5.0076, 5.7666 Å; angles 90.00, 90.00, 90.00 degrees
Fractional positions:
K 0.0000 0.0000 0.0000
Cu 0.0000 0.5000 0.5000
Cu 0.5000 0.5000 0.0000
Re 0.5000 0.0000 0.5000

energy of formation from the pure elements	129.8	kJ per mole of atoms
DOS(E_F)	3.6	states/eV/f.u.
magnetic moment	1.4	μB per cell